# 1
## CrC3 (PBE)

Data for a geometry-optimized CrC3 structure.

Lattice parameters (Å, degrees): 4.284 5.906 5.414 90.00 90.00 90.00
Last column: magnetic moment on the atom in μB.
Atoms (fractional coordinates):
Cr  0.745  0.803  0.750  2.04
Cr  0.245  0.697  0.250  2.04
Cr  0.755  0.303  0.750  2.04
Cr  0.255  0.197  0.250  2.04
C  0.199  0.909  0.750  -0.04
C  0.699  0.591  0.250  -0.04
C  0.301  0.409  0.750  -0.04
C  0.801  0.091  0.250  -0.04
C  0.640  0.071  0.018  -0.06
C  0.140  0.429  0.982  -0.06
C  0.860  0.571  0.482  -0.06
C  0.360  0.929  0.518  -0.06
C  0.360  0.929  0.982  -0.06
C  0.860  0.571  0.018  -0.06
C  0.140  0.429  0.518  -0.06
C  0.640  0.071  0.482  -0.06

**Polymorph energy (0 for the lowest one)**: 0.000 eV/f.u.
**SG**: Pnma, No. 62
**Crystal system**: orthorhombic


# 2
## CrC3 (PBE)

Data for a geometry-optimized CrC3 structure.

Lattice parameters (Å, degrees): 3.751 3.751 3.751 141.99 117.82 75.25
Atoms (fractional coordinates):
Cr  0.500  0.000  0.500
C  0.182  0.182  0.000
C  0.818  0.818  0.000
C  0.000  0.500  0.500

**Polymorph energy (0 for the lowest one)**: 3.824 eV/f.u.
**SG**: Immm, No. 71
**Crystal system**: orthorhombic


# 3
## CrC3 (PBE)

Data for a geometry-optimized CrC3 structure.

Lattice parameters (Å, degrees): 3.895 3.895 12.399 90.00 90.00 120.00
Last column: magnetic moment on the atom in μB.
Atoms (fractional coordinates):
Cr  0.000  0.000  0.000  0.59
Cr  0.000  0.000  0.500  0.59
Cr  0.333  0.667  0.250  -1.85
Cr  0.667  0.333  0.750  -1.85
C  0.500  0.000  0.000  -0.05
C  0.500  0.000  0.500  -0.05
C  0.000  0.500  0.000  -0.05
C  0.500  0.500  0.000  -0.05
C  0.500  0.500  0.500  -0.05
C  0.000  0.500  0.500  -0.05
C  0.789  0.579  0.250  0.05
C  0.211  0.421  0.750  0.05
C  0.421  0.211  0.250  0.05
C  0.789  0.211  0.250  0.05
C  0.211  0.789  0.750  0.05
C  0.579  0.789  0.750  0.05

**Polymorph energy (0 for the lowest one)**: 4.600 eV/f.u.
**SG**: P6_3/mmc, No. 194
**Crystal system**: hexagonal


# 4
## Cr3C2 (PBE)

Data for a geometry-optimized Cr3C2 structure.

Lattice parameters (Å, degrees): 3.197 3.197 5.421 90.00 90.00 120.00
Last column: magnetic moment on the atom in μB.
Atoms (fractional coordinates):
Cr  0.000  0.000  0.000  2.07
Cr  0.667  0.333  0.643  0.28
Cr  0.333  0.667  0.357  0.28
C  0.667  0.333  0.238  -0.05
C  0.333  0.667  0.762  -0.05

**Polymorph energy (0 for the lowest one)**: 1.177 eV/f.u.
**SG**: P-3m1, No. 164
**Crystal system**: trigonal


# 5
## CrC (PBE)

Data for a geometry-optimized CrC structure.

Lattice parameters (Å, degrees): 3.908 3.908 3.908 90.00 90.00 90.00
Atoms (fractional coordinates):
Cr  0.000  0.500  0.000
Cr  0.000  0.000  0.500
Cr  0.500  0.000  0.000
C  0.500  0.000  0.500
C  0.500  0.500  0.000
C  0.000  0.500  0.500

**SG**: Pm-3m, No. 221
**Uncorrected energy**: -52.23 eV per cell
**Crystal system**: cubic


# 6
## CrC (PBE)

Data for a geometry-optimized CrC structure.

Lattice parameters (Å, degrees): 2.523 2.523 2.523 90.00 90.00 90.00
Atoms (fractional coordinates):
Cr  0.500  0.500  0.500
C  0.000  0.000  0.000

**SG**: Pm-3m, No. 221
**Uncorrected energy**: -17.51 eV per cell
**Crystal system**: cubic


# 7
## CrC (PBE)

Data for a geometry-optimized CrC structure.

Lattice parameters (Å, degrees): 3.975 3.975 2.567 90.00 90.00 127.69
Atoms (fractional coordinates):
Cr  0.846  0.154  0.750
Cr  0.154  0.846  0.250
C  0.561  0.439  0.750
C  0.439  0.561  0.250

**SG**: Cmcm, No. 63
**Uncorrected energy**: -36.01 eV per cell
**Crystal system**: orthorhombic


# 8
## Cr4C (PBE)

Data for a geometry-optimized Cr4C structure.

Lattice parameters (Å, degrees): 4.670 4.670 4.670 94.34 94.34 148.07
Atoms (fractional coordinates):
Cr  0.762  0.442  0.203
Cr  0.442  0.238  0.680
Cr  0.238  0.558  0.797
Cr  0.558  0.762  0.320
C  0.000  0.000  0.000

**Polymorph energy (0 for the lowest one)**: 0.578 eV/f.u.
**SG**: I4/m, No. 87
**Crystal system**: tetragonal